! Zr3WF (GGA+U, relaxed); values from VASP
! ΔE to the lowest computed polymorph in eV/atom: 0.000
! Symmetry: No. 221
! Magnetization in μB per atom: 0.00
&SYSTEM
  ibrav = 0, nat = 5, ntyp = 3
/
ATOMIC_SPECIES
Zr 91.22 Zr.upf
W 183.84 W.upf
F 19.00 F.upf
CELL_PARAMETERS angstrom
4.535 0.000 0.000
0.000 4.535 0.000
0.000 0.000 4.535
ATOMIC_POSITIONS crystal
Zr 0.000 0.000 0.500
Zr 0.000 0.500 0.000
Zr 0.500 0.000 0.000
W 0.500 0.500 0.500
F 0.000 0.000 0.000